! Sc2Mn2Au | Alexandria | PBE-GGA | optimized geometry; values from VASP
&SYSTEM
  ibrav = 0, nat = 10, ntyp = 3
/
ATOMIC_SPECIES
Mn 54.94 Mn.upf
Sc 44.96 Sc.upf
Au 196.97 Au.upf
CELL_PARAMETERS angstrom
-0.1482 -6.3309 1.6138
2.7225 -1.5272 -5.7413
3.6177 0.3302 1.6277
ATOMIC_POSITIONS angstrom
Mn 2.3664 -3.8318 -4.4822
Mn 1.5276 -6.5682 -2.0627
Mn 0.2079 -4.0264 0.3547
Mn 1.0468 -1.2899 -2.0649
Sc 3.6372 -2.0243 -2.8058
Sc 3.9364 -5.3992 -2.7860
Sc 2.5548 -5.5036 0.3059
Sc 2.2556 -2.1287 0.2861
Au 1.2872 -3.9291 -2.0638
Au 0.0000 0.0000 0.0000
! formation energy: -0.1602 eV per atom
! total magnetic moment: 0.36 μB/atom
! crystal system: tetragonal
! space-group type: P4/mbm



! KMgSbS3 | Alexandria | PBE-GGA | optimized geometry; values from VASP
&SYSTEM
  ibrav = 0, nat = 12, ntyp = 4
/
ATOMIC_SPECIES
S 32.06 S.upf
K 39.10 K.upf
Sb 121.76 Sb.upf
Mg 24.30 Mg.upf
CELL_PARAMETERS angstrom
-3.5898 1.8233 -0.4415
-4.0902 -6.8913 4.7975
2.2038 6.0379 7.0164
ATOMIC_POSITIONS angstrom
S -4.1341 -0.7713 2.5583
S -1.3421 1.7413 8.8141
S -3.1501 -2.1348 7.5070
S 0.3441 4.5501 6.7034
S -2.3261 3.1047 3.8654
S -5.8203 -3.5802 4.6690
K -4.3185 0.4634 9.1572
K -1.1577 0.5066 2.2152
Sb -2.2522 4.1124 7.4263
Sb -3.2240 -3.1424 3.9461
Mg -5.4812 -2.3938 6.8116
Mg 0.0051 3.3638 4.5609
! energy relative to the elements, uncorrected: -5.55 eV per formula unit
! total magnetic moment: 0.00 μB/atom
! crystal system: monoclinic
! space-group type: P2_1/m



! Tb2NpAsN5 | Alexandria | PBE-GGA | optimized geometry; values from VASP
&SYSTEM
  ibrav = 0, nat = 18, ntyp = 4
/
ATOMIC_SPECIES
N 14.01 N.upf
As 74.92 As.upf
Tb 158.93 Tb.upf
Np 237.00 Np.upf
CELL_PARAMETERS angstrom
-0.3597 2.9275 1.7943
-0.0784 -5.1321 5.0360
10.0630 0.7020 0.8721
ATOMIC_POSITIONS angstrom
N 2.7593 1.6471 1.1873
N 7.7154 -3.0903 6.5888
N 4.8782 0.8897 2.8478
N 6.3219 -1.6498 3.9591
N 1.1481 -0.0031 3.5565
N 0.4564 -0.2898 0.5643
N -0.1005 -2.7304 4.4346
N 3.5363 -1.9306 3.8587
N 8.4378 0.5919 4.0473
N 5.0952 -1.4969 6.7851
As 4.5202 -3.2877 6.2703
As 9.6235 2.1004 1.8238
Tb 2.8500 -0.7515 1.7975
Tb 1.6100 -1.2284 5.6482
Tb 6.9618 -0.3477 1.9629
Tb 7.5778 -0.6950 5.9745
Np 4.7353 -0.2953 4.7524
Np -0.0772 -1.5538 2.5196
! energy relative to the elements, uncorrected: -7.63 eV per formula unit
! total magnetic moment: 0.24 μB/atom
! crystal system: orthorhombic
! space-group type: Cmc2_1



! BeCd2Fe | Alexandria | PBE-GGA | optimized geometry; values from VASP
&SYSTEM
  ibrav = 0, nat = 4, ntyp = 3
/
ATOMIC_SPECIES
Be 9.01 Be.upf
Fe 55.84 Fe.upf
Cd 112.41 Cd.upf
CELL_PARAMETERS angstrom
-2.4391 -2.8197 -2.9891
-1.4328 -1.0892 4.4267
-2.0645 1.9783 -0.1815
ATOMIC_POSITIONS angstrom
Be -1.7487 0.4446 2.1226
Fe -2.2518 -0.4207 -1.5853
Cd 0.0000 0.0000 0.0000
Cd -1.9360 -1.9544 0.7188
! formation energy: 0.4363 eV per atom
! total magnetic moment: 0.57 μB/atom
! crystal system: orthorhombic
! space-group type: Cmmm



! SrIrS3 | Alexandria | PBE-GGA | optimized geometry; values from VASP
&SYSTEM
  ibrav = 0, nat = 5, ntyp = 3
/
ATOMIC_SPECIES
S 32.06 S.upf
Sr 87.62 Sr.upf
Ir 192.22 Ir.upf
CELL_PARAMETERS angstrom
-4.2147 -1.1846 -1.8700
2.1561 -3.1074 -2.8912
-0.5012 -3.4066 3.2876
ATOMIC_POSITIONS angstrom
S -0.2506 -1.7033 1.6438
S -2.1074 -0.5923 -0.9350
S 1.0781 -1.5537 -1.4456
Sr -1.2799 -3.8493 -0.7368
Ir 0.0000 0.0000 0.0000
! energy relative to the elements, uncorrected: -2.64 eV per formula unit
! total magnetic moment: 0.31 μB/atom
! crystal system: cubic
! space-group type: Pm-3m



! TbNd2SmS4 | Alexandria | PBE-GGA | optimized geometry; values from VASP
&SYSTEM
  ibrav = 0, nat = 8, ntyp = 4
/
ATOMIC_SPECIES
S 32.06 S.upf
Tb 158.93 Tb.upf
Nd 144.24 Nd.upf
Sm 150.36 Sm.upf
CELL_PARAMETERS angstrom
-2.5262 -2.2040 -2.1396
-1.6657 -3.6236 5.6994
-4.3290 5.4989 -0.5530
ATOMIC_POSITIONS angstrom
S -5.7944 0.3536 2.7810
S -2.7266 -0.6822 0.2258
S -2.2708 -1.3770 4.0997
S -3.7239 3.2524 1.0467
Tb -2.0960 -2.9138 1.7799
Nd -3.4276 1.6475 -1.3463
Nd -2.9974 0.9377 2.5732
Sm 0.0000 0.0000 0.0000
! energy relative to the elements, uncorrected: -16.16 eV per formula unit
! total magnetic moment: 0.00 μB/atom
! crystal system: monoclinic
! space-group type: P2/m



! Sc2AlCrC | Alexandria | PBE-GGA | optimized geometry; values from VASP
&SYSTEM
  ibrav = 0, nat = 5, ntyp = 4
/
ATOMIC_SPECIES
Cr 52.00 Cr.upf
Sc 44.96 Sc.upf
Al 26.98 Al.upf
C 12.01 C.upf
CELL_PARAMETERS angstrom
-3.5347 -2.6873 -0.8625
0.9484 -2.4328 3.6934
-2.2792 2.3197 2.1132
ATOMIC_POSITIONS angstrom
Cr -1.1396 1.1599 1.0566
Sc 0.4742 -1.2164 1.8467
Sc -1.7674 -1.3437 -0.4312
Al -2.4328 -1.4002 2.4721
C 0.0000 0.0000 0.0000
! formation energy: -0.3915 eV per atom
! total magnetic moment: 0.23 μB/atom
! crystal system: tetragonal
! space-group type: P4/mmm



! Cs2Te2Br | Alexandria | PBE-GGA | optimized geometry; values from VASP
&SYSTEM
  ibrav = 0, nat = 10, ntyp = 3
/
ATOMIC_SPECIES
Br 79.90 Br.upf
Te 127.60 Te.upf
Cs 132.91 Cs.upf
CELL_PARAMETERS angstrom
-0.4801 8.0880 5.3761
-8.3969 2.3588 -4.2986
-2.9749 -2.9598 4.1870
ATOMIC_POSITIONS angstrom
Br -4.4385 5.2234 0.5388
Br 0.0000 0.0000 0.0000
Te -9.3506 5.4829 1.4286
Te -5.2984 6.7665 5.2151
Te -6.5535 0.7206 0.0496
Te -2.5013 2.0042 3.8360
Cs -1.8972 5.9942 2.8892
Cs -6.1565 8.1979 1.4208
Cs -2.7205 2.2489 -0.3432
Cs -6.9798 4.4526 -1.8117
! energy relative to the elements, uncorrected: -4.56 eV per formula unit
! total magnetic moment: 0.20 μB/atom
! crystal system: tetragonal
! space-group type: P4/mbm



! CdAsCl2 | Alexandria | PBE-GGA | optimized geometry; values from VASP
&SYSTEM
  ibrav = 0, nat = 4, ntyp = 3
/
ATOMIC_SPECIES
As 74.92 As.upf
Cl 35.45 Cl.upf
Cd 112.41 Cd.upf
CELL_PARAMETERS angstrom
3.3344 0.0000 0.0000
0.0000 3.3344 0.0000
0.0000 0.0000 8.6347
ATOMIC_POSITIONS angstrom
As 0.0000 0.0000 4.4064
Cl 0.0000 0.0000 7.9564
Cl 1.6672 1.6672 2.8090
Cd 1.6672 1.6672 6.4150
! energy relative to the elements, uncorrected: -0.65 eV per formula unit
! total magnetic moment: 0.00 μB/atom
! crystal system: tetragonal
! space-group type: P4mm



! Sc3In2Ag | Alexandria | PBE-GGA | optimized geometry; values from VASP
&SYSTEM
  ibrav = 0, nat = 12, ntyp = 3
/
ATOMIC_SPECIES
In 114.82 In.upf
Sc 44.96 Sc.upf
Ag 107.87 Ag.upf
CELL_PARAMETERS angstrom
-1.1493 4.3514 2.1352
-3.6220 -3.1117 -1.4190
0.2669 -5.3228 10.9914
ATOMIC_POSITIONS angstrom
In -2.7518 -1.5409 1.6591
In 0.0000 0.0000 0.0000
In 0.1334 -2.6614 5.4957
In -1.7526 -2.5422 10.0486
Sc 0.0677 -1.3495 2.7867
Sc -2.5540 -5.4857 9.8050
Sc -1.8182 -1.2331 7.3454
Sc -1.9504 1.4026 1.9027
Sc 0.1992 -3.9733 8.2047
Sc -2.6861 -2.8500 4.3623
Ag -2.6192 -4.1856 7.1204
Ag -1.8852 0.1025 4.5873
! formation energy: -0.3848 eV per atom
! total magnetic moment: 0.00 μB/atom
! crystal system: trigonal
! space-group type: P-3m1



! CsTbCoCl6 | Alexandria | PBE-GGA | optimized geometry; values from VASP
&SYSTEM
  ibrav = 0, nat = 9, ntyp = 4
/
ATOMIC_SPECIES
Co 58.93 Co.upf
Cs 132.91 Cs.upf
Cl 35.45 Cl.upf
Tb 158.93 Tb.upf
CELL_PARAMETERS angstrom
-3.5452 2.3487 5.2161
-0.8003 -3.7895 5.4950
6.5199 3.0709 3.0279
ATOMIC_POSITIONS angstrom
Co 0.3670 0.5693 8.6513
Cs 2.9751 5.4190 8.2435
Cl 2.3203 -0.6843 9.4785
Cl 0.5336 2.0434 10.6408
Cl 0.1570 -0.5293 6.4558
Cl 1.9230 2.1336 7.5174
Cl -0.9938 -1.2583 9.6320
Cl -1.7689 1.7524 8.2075
Tb 1.8135 1.0523 5.0825
! energy relative to the elements, uncorrected: -14.91 eV per formula unit
! total magnetic moment: 0.33 μB/atom
! crystal system: monoclinic
! space-group type: C2



! HAuN2O | Alexandria | PBE-GGA | optimized geometry; values from VASP
&SYSTEM
  ibrav = 0, nat = 5, ntyp = 4
/
ATOMIC_SPECIES
H 1.01 H.upf
N 14.01 N.upf
O 16.00 O.upf
Au 196.97 Au.upf
CELL_PARAMETERS angstrom
-1.0686 -2.5023 -1.1828
0.5695 -1.4396 2.5310
-5.9795 1.5112 2.2050
ATOMIC_POSITIONS angstrom
H 0.0000 0.0000 0.0000
N 0.2848 -0.7198 1.2655
N -0.5343 -1.2512 -0.5914
O -2.9898 0.7556 1.1025
Au -3.2393 -1.2153 1.7766
! final energy: -3.79 eV/atom
! total magnetic moment: 0.00 μB/atom
! crystal system: tetragonal
! space-group type: P4/mmm



> Which value of total magnetic moment does entry 3 give?

0.24 μB/atom



> Which of these has the highest total magnetic moment?

BeCd2Fe